Entry 1
# ErTaC2 PBE optimized geometry
data_ErTaC2
_chemical_formula_sum 'Er1 Ta1 C2'
_space_group_name_H-M_alt 'P 1'
_space_group_IT_number 1
_space_group_name_Hall 'P 1'
_cell_length_a 6.0765
_cell_length_b 6.0765
_cell_length_c 6.0765
_cell_angle_alpha 31.11
_cell_angle_beta 31.11
_cell_angle_gamma 31.11
loop_
_atom_site_label
_atom_site_fract_x
_atom_site_fract_y
_atom_site_fract_z
Er1 0.0000 0.0000 0.0000
Ta1 0.1740 0.1740 0.1740
C1 0.5774 0.5774 0.5774
C2 0.7667 0.7667 0.7667
# Size of the total moment (μB per cell): 0.00

=====

Entry 2
# ErTaC2 PBE optimized geometry
data_ErTaC2
_chemical_formula_sum 'Er1 Ta1 C2'
_space_group_name_H-M_alt 'P 1'
_space_group_IT_number 1
_space_group_name_Hall 'P 1'
_cell_length_a 5.8586
_cell_length_b 5.8586
_cell_length_c 5.8586
_cell_angle_alpha 32.61
_cell_angle_beta 32.61
_cell_angle_gamma 32.61
loop_
_atom_site_label
_atom_site_fract_x
_atom_site_fract_y
_atom_site_fract_z
Er1 0.0000 0.0000 0.0000
Ta1 0.5000 0.5000 0.5000
C1 0.2401 0.2401 0.2401
C2 0.7599 0.7599 0.7599
# Size of the total moment (μB per cell): 0.00

=====

How do the structures above rank in stability at the extremes? entry 2 comes first and entry 1 comes last.